No. 1
Material: AcSi2SbO8
Method: DFT, GGA-PBE
State: optimized geometry

a = 7.1938 Å, b = 7.1938 Å, c = 6.1068 Å
α = 90.00°, β = 90.00°, γ = 90.00°
Space group I-4m2 (No. 119)
One atom of each set of equivalent atoms:
Ac  0.0000  0.0000  0.0000 (multiplicity 2)
Si  0.0000  0.0000  0.5000 (multiplicity 2)
Si  0.0000  0.5000  0.7500 (multiplicity 2)
Sb  0.0000  0.5000  0.2500 (multiplicity 2)
O  0.0000  0.1901  0.3432 (multiplicity 8)
O  0.0000  0.3372  0.9431 (multiplicity 8)

***

No. 2
Material: AcSm2SbO8
Method: DFT, GGA-PBE
State: optimized geometry

a = 4.2935 Å, b = 5.5430 Å, c = 7.4839 Å
α = 93.27°, β = 92.02°, γ = 92.28°
Space group P-1 (No. 2)
One atom of each set of equivalent atoms:
Ac  0.0000  0.0000  0.0000 (multiplicity 1)
Sm  0.4706  0.4683  0.7454 (multiplicity 2)
Sb  0.0000  0.0000  0.5000 (multiplicity 1)
O  0.0538  0.7536  0.2914 (multiplicity 2)
O  0.1003  0.7699  0.6918 (multiplicity 2)
O  0.3855  0.2125  0.4635 (multiplicity 2)
O  0.4842  0.2610  0.0040 (multiplicity 2)

***

No. 3
Material: Ac2SmSbO8
Method: DFT, GGA-PBE
State: optimized geometry

a = 4.5143 Å, b = 7.3102 Å, c = 5.6564 Å
α = 90.00°, β = 92.85°, γ = 90.00°
Space group P2/m (No. 10)
One atom of each set of equivalent atoms:
Ac  0.0000  0.2466  0.0000 (multiplicity 2)
Sm  0.5000  0.5000  0.5000 (multiplicity 1)
Sb  0.5000  0.0000  0.5000 (multiplicity 1)
O  0.0612  0.5000  0.2532 (multiplicity 2)
O  0.0699  0.0000  0.3851 (multiplicity 2)
O  0.4565  0.2047  0.7357 (multiplicity 4)

***

No. 4
Material: AcSmSbO6
Method: DFT, GGA-PBE
State: optimized geometry

a = 5.8153 Å, b = 5.8153 Å, c = 10.2306 Å
α = 90.00°, β = 90.00°, γ = 120.00°
Space group P-31c (No. 163)
One atom of each set of equivalent atoms:
Ac  0.0000  0.0000  0.0000 (multiplicity 2)
Sm  0.3333  0.6667  0.2500 (multiplicity 2)
Sb  0.3333  0.6667  0.7500 (multiplicity 2)
O  0.0430  0.3798  0.6407 (multiplicity 12)

***

No. 5
Material: AcSmSb2O8
Method: DFT, GGA-PBE
State: optimized geometry

a = 5.4654 Å, b = 5.4654 Å, c = 11.8167 Å
α = 90.00°, β = 90.00°, γ = 90.00°
Space group I-4 (No. 82)
One atom of each set of equivalent atoms:
Ac  0.0000  0.0000  0.0000 (multiplicity 2)
Sm  0.0000  0.5000  0.7500 (multiplicity 2)
Sb  0.0000  0.0000  0.5000 (multiplicity 2)
Sb  0.0000  0.5000  0.2500 (multiplicity 2)
O  0.1560  0.2507  0.5882 (multiplicity 8)
O  0.1760  0.7468  0.1680 (multiplicity 8)

***

No. 6
Material: AcSnSbO
Method: DFT, GGA-PBE
State: optimized geometry

a = 3.5743 Å, b = 3.5743 Å, c = 16.7997 Å
α = 90.00°, β = 90.00°, γ = 90.00°
Space group I4mm (No. 107)
One atom of each set of equivalent atoms:
Ac  0.0000  0.0000  0.0000 (multiplicity 2)
Sn  0.0000  0.0000  0.2896 (multiplicity 2)
Sb  0.0000  0.0000  0.6736 (multiplicity 2)
O  0.0000  0.0000  0.4804 (multiplicity 2)

***

No. 7
Material: AcSnSbO6
Method: DFT, GGA-PBE
State: optimized geometry

a = 5.4301 Å, b = 5.4301 Å, c = 10.8187 Å
α = 90.00°, β = 90.00°, γ = 120.00°
Space group P-31c (No. 163)
One atom of each set of equivalent atoms:
Ac  0.0000  0.0000  0.0000 (multiplicity 2)
Sn  0.3333  0.6667  0.2500 (multiplicity 2)
Sb  0.3333  0.6667  0.7500 (multiplicity 2)
O  0.0108  0.3779  0.6445 (multiplicity 12)

***

No. 8
Material: Sr2Ac4Sb3O2
Method: DFT, GGA-PBE
State: optimized geometry

a = 5.1185 Å, b = 5.1185 Å, c = 26.7694 Å
α = 90.00°, β = 90.00°, γ = 90.00°
Space group I4/mmm (No. 139)
One atom of each set of equivalent atoms:
Sr  0.0000  0.0000  0.1978 (multiplicity 4)
Ac  0.0000  0.5000  0.0827 (multiplicity 8)
Sb  0.0000  0.0000  0.3247 (multiplicity 4)
Sb  0.0000  0.0000  0.5000 (multiplicity 2)
O  0.0000  0.0000  0.1022 (multiplicity 4)

***

No. 9
Material: SrAcSb2O8
Method: DFT, GGA-PBE
State: optimized geometry

a = 5.5867 Å, b = 5.5867 Å, c = 11.9791 Å
α = 90.00°, β = 90.00°, γ = 90.00°
Space group I-4 (No. 82)
One atom of each set of equivalent atoms:
Sr  0.0000  0.0000  0.0000 (multiplicity 2)
Ac  0.0000  0.5000  0.7500 (multiplicity 2)
Sb  0.0000  0.0000  0.5000 (multiplicity 2)
Sb  0.0000  0.5000  0.2500 (multiplicity 2)
O  0.1633  0.2385  0.5867 (multiplicity 8)
O  0.1658  0.7388  0.1647 (multiplicity 8)

***

No. 10
Material: Sr4Ac2Sb3O2
Method: DFT, GGA-PBE
State: optimized geometry

a = 5.0099 Å, b = 5.0099 Å, c = 27.0029 Å
α = 90.00°, β = 90.00°, γ = 90.00°
Space group I4/mmm (No. 139)
One atom of each set of equivalent atoms:
Sr  0.0000  0.5000  0.0825 (multiplicity 8)
Ac  0.0000  0.0000  0.1941 (multiplicity 4)
Sb  0.0000  0.0000  0.3239 (multiplicity 4)
Sb  0.0000  0.0000  0.5000 (multiplicity 2)
O  0.0000  0.0000  0.1044 (multiplicity 4)

***

No. 11
Material: Sr2AcSbO6
Method: DFT, GGA-PBE
State: optimized geometry

a = 5.9977 Å, b = 6.1991 Å, c = 10.4580 Å
α = 90.00°, β = 124.53°, γ = 90.00°
Space group P2_1/c (No. 14)
One atom of each set of equivalent atoms:
Sr  0.2389  0.0455  0.2530 (multiplicity 4)
Ac  0.5000  0.0000  0.0000 (multiplicity 2)
Sb  0.0000  0.0000  0.5000 (multiplicity 2)
O  0.1101  0.2305  0.9360 (multiplicity 4)
O  0.2247  0.6809  0.9519 (multiplicity 4)
O  0.3263  0.0477  0.7221 (multiplicity 4)

***

No. 12
Material: AcTa2SbO7
Method: DFT, GGA-PBE
State: optimized geometry

a = 3.8937 Å, b = 3.8937 Å, c = 11.4879 Å
α = 90.00°, β = 90.00°, γ = 90.00°
Space group P4/mmm (No. 123)
One atom of each set of equivalent atoms:
Ac  0.0000  0.0000  0.0000 (multiplicity 1)
Ta  0.5000  0.5000  0.2095 (multiplicity 2)
Sb  0.0000  0.0000  0.5000 (multiplicity 1)
O  0.0000  0.5000  0.1710 (multiplicity 4)
O  0.5000  0.5000  0.0000 (multiplicity 1)
O  0.5000  0.5000  0.3672 (multiplicity 2)

***

No. 13
Material: AcTaSbO6
Method: DFT, GGA-PBE
State: optimized geometry

a = 5.1477 Å, b = 5.1477 Å, c = 10.2396 Å
α = 90.00°, β = 90.00°, γ = 90.00°
Space group P4_2nm (No. 102)
One atom of each set of equivalent atoms:
Ac  0.0000  0.0000  0.0000 (multiplicity 2)
Ta  0.0000  0.0000  0.6647 (multiplicity 2)
Sb  0.0000  0.0000  0.3304 (multiplicity 2)
O  0.1681  0.1681  0.5040 (multiplicity 4)
O  0.2015  0.2015  0.7992 (multiplicity 4)
O  0.2249  0.2249  0.1842 (multiplicity 4)

***

No. 14
Material: AcTbSbO6
Method: DFT, GGA-PBE
State: optimized geometry

a = 5.7143 Å, b = 5.7143 Å, c = 5.2227 Å
α = 90.00°, β = 90.00°, γ = 120.00°
Space group P312 (No. 149)
One atom of each set of equivalent atoms:
Ac  0.0000  0.0000  0.0000 (multiplicity 1)
Tb  0.3333  0.6667  0.5000 (multiplicity 1)
Sb  0.6667  0.3333  0.5000 (multiplicity 1)
O  0.3776  0.0355  0.7150 (multiplicity 6)

***

No. 15
Material: AcTbSb2O8
Method: DFT, GGA-PBE
State: optimized geometry

a = 7.6050 Å, b = 7.6050 Å, c = 6.9442 Å
α = 90.00°, β = 90.00°, γ = 90.00°
Space group I-4m2 (No. 119)
One atom of each set of equivalent atoms:
Ac  0.0000  0.0000  0.0000 (multiplicity 2)
Tb  0.0000  0.5000  0.7500 (multiplicity 2)
Sb  0.0000  0.0000  0.5000 (multiplicity 2)
Sb  0.0000  0.5000  0.2500 (multiplicity 2)
O  0.0000  0.1920  0.6775 (multiplicity 8)
O  0.0000  0.3226  0.0574 (multiplicity 8)

***

No. 16
Material: Ac2TbSbO6
Method: DFT, GGA-PBE
State: optimized geometry

a = 6.7122 Å, b = 8.4452 Å, c = 6.0152 Å
α = 90.00°, β = 90.00°, γ = 90.00°
Space group Pmmn (No. 59, origin choice 2)
One atom of each set of equivalent atoms:
Ac  0.2500  0.0034  0.2354 (multiplicity 4)
Tb  0.2500  0.7500  0.7222 (multiplicity 2)
Sb  0.2500  0.2500  0.7861 (multiplicity 2)
O  0.0536  0.2500  0.0829 (multiplicity 4)
O  0.0548  0.7500  0.4154 (multiplicity 4)
O  0.2500  0.5055  0.8413 (multiplicity 4)

***

No. 17
Material: AcTbSbO5
Method: DFT, GGA-PBE
State: optimized geometry

a = 7.8600 Å, b = 9.8141 Å, c = 8.3360 Å
α = 90.00°, β = 117.79°, γ = 90.00°
Space group C2/c (No. 15)
One atom of each set of equivalent atoms:
Ac  0.0000  0.1841  0.2500 (multiplicity 4)
Tb  0.0000  0.5000  0.0000 (multiplicity 4)
Sb  0.0000  0.1918  0.7500 (multiplicity 4)
O  0.0000  0.4212  0.2500 (multiplicity 4)
O  0.1132  0.2740  0.5888 (multiplicity 8)
O  0.1822  0.0540  0.9043 (multiplicity 8)

***

No. 18
Material: AcThSb2O8
Method: DFT, GGA-PBE
State: optimized geometry

a = 7.6582 Å, b = 7.6582 Å, c = 7.1188 Å
α = 90.00°, β = 90.00°, γ = 90.00°
Space group I-4m2 (No. 119)
One atom of each set of equivalent atoms:
Ac  0.0000  0.0000  0.0000 (multiplicity 2)
Th  0.0000  0.5000  0.2500 (multiplicity 2)
Sb  0.0000  0.0000  0.5000 (multiplicity 2)
Sb  0.0000  0.5000  0.7500 (multiplicity 2)
O  0.0000  0.1962  0.3126 (multiplicity 8)
O  0.0000  0.3232  0.9405 (multiplicity 8)

***

No. 19
Material: AcTiSbO6
Method: DFT, GGA-PBE
State: optimized geometry

a = 5.3042 Å, b = 5.3042 Å, c = 10.7612 Å
α = 90.00°, β = 90.00°, γ = 120.00°
Space group P-31c (No. 163)
One atom of each set of equivalent atoms:
Ac  0.0000  0.0000  0.0000 (multiplicity 2)
Ti  0.3333  0.6667  0.2500 (multiplicity 2)
Sb  0.3333  0.6667  0.7500 (multiplicity 2)
O  0.0030  0.3811  0.1463 (multiplicity 12)

***

Number 1: uncorrected formation energy -215.6 kJ/mol of atoms. Number 2: uncorrected formation energy -233.6 kJ/mol of atoms. Number 3: uncorrected formation energy -236.7 kJ/mol of atoms. Number 4: uncorrected formation energy -230.5 kJ/mol of atoms. Number 5: uncorrected formation energy -221.6 kJ/mol of atoms. Number 6: uncorrected formation energy -116.2 kJ/mol of atoms. Number 7: uncorrected formation energy -209.4 kJ/mol of atoms. Number 8: uncorrected formation energy -157.0 kJ/mol of atoms. Number 9: uncorrected formation energy -191.8 kJ/mol of atoms. Number 10: uncorrected formation energy -165.2 kJ/mol of atoms. Number 11: uncorrected formation energy -249.0 kJ/mol of atoms. Number 12: uncorrected formation energy -238.9 kJ/mol of atoms. Number 13: uncorrected formation energy -230.1 kJ/mol of atoms. Number 14: uncorrected formation energy -233.7 kJ/mol of atoms. Number 15: uncorrected formation energy -214.9 kJ/mol of atoms. Number 16: uncorrected formation energy -251.1 kJ/mol of atoms. Number 17: uncorrected formation energy -246.5 kJ/mol of atoms. Number 18: uncorrected formation energy -222.6 kJ/mol of atoms. Number 19: uncorrected formation energy -253.5 kJ/mol of atoms.